DFT (PBEsol) results for a relaxed MgNiHg2 crystal.

```
MgNiHg2
1.0
0.000 3.253 3.253
3.253 0.000 3.253
3.253 3.253 0.000
Mg Ni Hg
1 1 2
direct
0.000 0.000 0.000
0.750 0.750 0.750
0.250 0.250 0.250
0.500 0.500 0.500
```

Output
Calculated volume   69 Å³/cell
Crystal system   cubic
Symmetry   F-43m
Total energy   -8.92 eV per cell